Crystalline AcLaSmTh at its relaxed geometry, computed with PBE-GGA.

The structure in extended XYZ format:
```
4
Lattice="0.0000 4.1899 4.1899 4.1899 0.0000 4.1899 4.1899 4.1899 0.0000" Properties=species:S:1:pos:R:3 pbc="T T T"
Ac 0.0000 0.0000 0.0000
La 6.2848 6.2848 6.2848
Sm 2.0949 2.0949 2.0949
Th 4.1899 4.1899 4.1899
```

DOS at the Fermi energy	3.002	states/eV per atom
ΔE to the lowest computed polymorph	0.171	eV/atom
total energy	-5.08	eV/atom
ΔH_f (0 K)	20.2	kJ/mol of atoms